No. 1
Here is a crystal of BaB3Pb relaxed with PBEsol from the Alexandria database. Energies are from SCAN.

Structure (extended XYZ):
```
5
Lattice="4.747 0.000 0.000 0.000 4.747 0.000 0.000 0.000 4.747" Properties=species:S:1:pos:R:3 pbc="T T T"
Ba 0.000 0.000 0.000
B 0.000 2.374 2.374
B 2.374 0.000 2.374
B 2.374 2.374 0.000
Pb 2.374 2.374 2.374
```

Results
* energy of formation: 40.77 kcal/mol of atoms
* SG: No. 221
* V: 107.0 Å³/cell
* mass density: 5.85 g/cm3
* crystal system: cubic
* uncorrected energy: -1.8930 Ry per atom



No. 2
Here is a crystal of BaB2Pb relaxed with PBEsol from the Alexandria database. Energies are from SCAN.

Structure (extended XYZ):
```
8
Lattice="-2.379 2.379 8.140 2.379 -2.379 8.140 2.379 2.379 -8.140" Properties=species:S:1:pos:R:3 pbc="T T T"
Ba 2.379 1.189 2.035
Ba 0.000 1.189 6.105
B 0.000 0.000 0.000
B 1.189 1.189 -4.070
B 1.189 -1.189 4.070
B 0.000 2.379 0.000
Pb 2.379 -1.189 6.105
Pb 0.000 3.568 2.035
```

Results
* energy of formation: 21.27 kcal/mol of atoms
* SG: No. 141
* V: 184.2 Å³/cell
* mass density: 6.60 g/cm3
* crystal system: tetragonal
* uncorrected energy: -2.3244 Ry per atom



No. 3
Here is a crystal of BaB4Pt6 relaxed with PBEsol from the Alexandria database. Energies are from SCAN.

Structure (extended XYZ):
```
11
Lattice="6.173 0.000 0.000 -3.087 5.346 0.000 0.000 0.000 5.250" Properties=species:S:1:pos:R:3 pbc="T T T"
Ba 0.000 0.000 0.000
B 0.000 3.564 2.996
B 0.000 3.564 4.870
B 3.087 1.782 0.380
B 3.087 1.782 2.254
Pt -1.378 2.769 1.320
Pt 1.378 2.769 1.320
Pt 0.000 5.155 1.320
Pt 3.087 0.191 3.930
Pt 1.709 2.578 3.930
Pt 4.464 2.578 3.930
```

Results
* energy of formation: -12.56 kcal/mol of atoms
* SG: No. 164
* V: 173.3 Å³/cell
* mass density: 12.95 g/cm3
* crystal system: trigonal
* uncorrected energy: -3.3169 Ry per atom



No. 4
Here is a crystal of Ba2B2Pt relaxed with PBEsol from the Alexandria database. Energies are from SCAN.

Structure (extended XYZ):
```
5
Lattice="-2.942 2.942 3.088 2.942 -2.942 3.088 2.942 2.942 -3.088" Properties=species:S:1:pos:R:3 pbc="T T T"
Ba 2.942 0.000 1.544
Ba 0.000 2.942 1.544
B 0.000 0.000 0.796
B 0.000 0.000 5.380
Pt 0.000 0.000 3.088
```

Results
* energy of formation: -2.91 kcal/mol of atoms
* SG: No. 139
* V: 106.9 Å³/cell
* mass density: 7.63 g/cm3
* crystal system: tetragonal
* uncorrected energy: -2.4223 Ry per atom



No. 5
Here is a crystal of BaReB2Pt relaxed with PBEsol from the Alexandria database. Energies are from SCAN.

Structure (extended XYZ):
```
5
Lattice="4.510 0.000 0.000 0.000 4.510 0.000 0.000 0.000 5.319" Properties=species:S:1:pos:R:3 pbc="T T T"
Ba 0.000 0.000 0.000
Re 2.255 2.255 2.659
B 0.000 2.255 0.000
B 2.255 0.000 0.000
Pt 0.000 0.000 2.659
```

Results
* energy of formation: 79.31 kcal/mol of atoms
* SG: No. 123
* V: 108.2 Å³/cell
* mass density: 8.29 g/cm3
* crystal system: tetragonal
* uncorrected energy: -2.6240 Ry per atom



No. 6
Here is a crystal of RbBa2BW relaxed with PBEsol from the Alexandria database. Energies are from SCAN.

Structure (extended XYZ):
```
5
Lattice="6.160 0.000 0.000 0.000 6.160 0.000 0.000 0.000 4.565" Properties=species:S:1:pos:R:3 pbc="T T T"
Rb 0.000 0.000 0.000
Ba 0.000 3.080 0.000
Ba 3.080 0.000 0.000
B 0.000 0.000 2.282
W 3.080 3.080 2.282
```

Results
* energy of formation: 53.79 kcal/mol of atoms
* SG: No. 123
* V: 173.2 Å³/cell
* mass density: 5.32 g/cm3
* crystal system: tetragonal
* uncorrected energy: -2.4298 Ry per atom



No. 7
Here is a crystal of RbBaYB2 relaxed with PBEsol from the Alexandria database. Energies are from SCAN.

Structure (extended XYZ):
```
5
Lattice="5.089 0.000 0.000 0.000 5.089 0.000 0.000 0.000 5.522" Properties=species:S:1:pos:R:3 pbc="T T T"
Rb 0.000 0.000 0.000
Ba 0.000 0.000 2.761
Y 2.544 2.544 2.761
B 0.000 2.544 0.000
B 2.544 0.000 0.000
```

Results
* energy of formation: 50.48 kcal/mol of atoms
* SG: No. 123
* V: 143.0 Å³/cell
* mass density: 3.87 g/cm3
* crystal system: tetragonal
* uncorrected energy: -1.3530 Ry per atom



No. 8
Here is a crystal of BaBRh3 relaxed with PBEsol from the Alexandria database. Energies are from SCAN.

Structure (extended XYZ):
```
5
Lattice="4.296 0.000 0.000 0.000 4.296 0.000 0.000 0.000 4.296" Properties=species:S:1:pos:R:3 pbc="T T T"
Ba 0.000 0.000 0.000
B 2.148 2.148 2.148
Rh 0.000 2.148 2.148
Rh 2.148 0.000 2.148
Rh 2.148 2.148 0.000
```

Results
* energy of formation: -2.78 kcal/mol of atoms
* SG: No. 221
* V: 79.3 Å³/cell
* mass density: 9.57 g/cm3
* crystal system: cubic
* uncorrected energy: -2.1887 Ry per atom



No. 9
Here is a crystal of BaB2Rh2 relaxed with PBEsol from the Alexandria database. Energies are from SCAN.

Structure (extended XYZ):
```
5
Lattice="-1.941 1.941 5.648 1.941 -1.941 5.648 1.941 1.941 -5.648" Properties=species:S:1:pos:R:3 pbc="T T T"
Ba 0.000 0.000 0.000
B 0.000 0.000 3.602
B 0.000 0.000 7.695
Rh 1.941 0.000 2.824
Rh 0.000 1.941 2.824
```

Results
* energy of formation: -13.64 kcal/mol of atoms
* SG: No. 139
* V: 85.1 Å³/cell
* mass density: 7.12 g/cm3
* crystal system: tetragonal
* uncorrected energy: -1.8361 Ry per atom



No. 10
Here is a crystal of BaB2Ru relaxed with PBEsol from the Alexandria database. Energies are from SCAN.

Structure (extended XYZ):
```
8
Lattice="-2.565 2.565 6.003 2.565 -2.565 6.003 2.565 2.565 -6.003" Properties=species:S:1:pos:R:3 pbc="T T T"
Ba 2.565 1.282 1.501
Ba 0.000 1.282 4.502
B 0.000 0.000 0.000
B 1.282 1.282 -3.001
B 1.282 -1.282 3.001
B 0.000 2.565 0.000
Ru 2.565 -1.282 4.502
Ru 0.000 3.847 1.501
```

Results
* energy of formation: -0.83 kcal/mol of atoms
* SG: No. 141
* V: 157.9 Å³/cell
* mass density: 5.47 g/cm3
* crystal system: tetragonal
* uncorrected energy: -1.6423 Ry per atom



No. 11
Here is a crystal of BaTiBRu2 relaxed with PBEsol from the Alexandria database. Energies are from SCAN.

Structure (extended XYZ):
```
5
Lattice="4.321 0.000 0.000 0.000 4.321 0.000 0.000 0.000 4.397" Properties=species:S:1:pos:R:3 pbc="T T T"
Ba 0.000 0.000 0.000
Ti 2.161 2.161 0.000
B 2.161 2.161 2.198
Ru 0.000 2.161 2.198
Ru 2.161 0.000 2.198
```

Results
* energy of formation: 10.21 kcal/mol of atoms
* SG: No. 123
* V: 82.1 Å³/cell
* mass density: 8.05 g/cm3
* crystal system: tetragonal
* uncorrected energy: -1.9175 Ry per atom



No. 12
Here is a crystal of BaBS2 relaxed with PBEsol from the Alexandria database. Energies are from SCAN.

Structure (extended XYZ):
```
4
Lattice="1.647 0.951 8.305 -1.647 0.951 8.305 0.000 -1.902 8.305" Properties=species:S:1:pos:R:3 pbc="T T T"
Ba 0.000 0.000 0.000
B 0.000 0.000 12.458
S 0.000 0.000 3.010
S 0.000 0.000 21.906
```

Results
* SG: No. 166
* V: 78.1 Å³/cell
* mass density: 4.52 g/cm3
* crystal system: trigonal
* uncorrected energy: -1.1961 Ry per atom



Question: The highest mass density belongs to which entry?
Answer: BaB4Pt6